# MnFeTc2

A relaxed MnFeTc2 crystal (PBE-GGA, Alexandria).

Cell lengths 2.6328, 3.6871, 5.2735 Å; angles 90.00, 90.00, 90.00 degrees
Closest atoms and distances in Å follow each position.
Positions (direct):
Mn (0.0000, 0.0000, 0.0000)  8 Tc 2.62, 2 Mn 2.63, 2 Fe 2.64
Fe (0.0000, 0.0000, 0.5000)  8 Tc 2.62, 2 Fe 2.63, 2 Mn 2.64
Tc (0.5000, 0.5000, 0.2494)  4 Mn 2.62, 4 Fe 2.62, 4 Tc 2.63-2.64
Tc (0.5000, 0.5000, 0.7506)  4 Mn 2.62, 4 Fe 2.62, 4 Tc 2.63-2.64

## Properties
- energy above the lowest structure with this stoichiometry (meV per atom) = 50.0
- formation energy (kJ/mol of formula units) = 39

# MnFeTc2

A relaxed MnFeTc2 crystal (PBE-GGA, Alexandria).

Cell lengths 4.5318, 4.5318, 4.5318 Å; angles 131.21, 131.21, 71.48 degrees
Closest atoms and distances in Å follow each position.
Positions (direct):
Mn (0.0000, 0.0000, 0.0000)  8 Tc 2.62, 4 Fe 2.65
Fe (0.5000, 0.5000, 0.0000)  8 Tc 2.62, 4 Mn 2.65
Tc (0.2500, 0.7500, 0.5000)  4 Mn 2.62, 4 Fe 2.62, 4 Tc 2.65
Tc (0.7500, 0.2500, 0.5000)  4 Mn 2.62, 4 Fe 2.62, 4 Tc 2.65

## Properties
- energy above the lowest structure with this stoichiometry (meV per atom) = 30.1
- formation energy (kJ/mol of formula units) = 31

# Mn3FeTc2

A relaxed Mn3FeTc2 crystal (PBE-GGA, Alexandria).

Cell lengths 4.6427, 4.6427, 7.6496 Å; angles 90.00, 90.00, 120.00 degrees
Closest atoms and distances in Å follow each position.
Positions (direct):
Mn (0.1740, 0.3479, 0.2500)  4 Mn 2.22-2.42, 2 Fe 2.37
Mn (0.1740, 0.8260, 0.2500)  4 Mn 2.22-2.42, 2 Fe 2.37
Mn (0.3479, 0.1740, 0.7500)  4 Mn 2.22-2.42, 2 Fe 2.37
Mn (0.6521, 0.8260, 0.2500)  4 Mn 2.22-2.42, 2 Fe 2.37
Mn (0.8260, 0.1740, 0.7500)  4 Mn 2.22-2.42, 2 Fe 2.37
Mn (0.8260, 0.6521, 0.7500)  4 Mn 2.22-2.42, 2 Fe 2.37
Fe (0.0000, 0.0000, 0.0000)  6 Mn 2.37
Fe (0.0000, 0.0000, 0.5000)  6 Mn 2.37
Tc (0.3333, 0.6667, 0.5670)  9 Mn 2.71-2.74, 3 Fe 2.73, 4 Tc 2.80-2.87
Tc (0.3333, 0.6667, 0.9330)  9 Mn 2.71-2.74, 3 Fe 2.73, 4 Tc 2.80-2.87
Tc (0.6667, 0.3333, 0.0670)  9 Mn 2.71-2.74, 3 Fe 2.73, 4 Tc 2.80-2.87
Tc (0.6667, 0.3333, 0.4330)  9 Mn 2.71-2.74, 3 Fe 2.73, 4 Tc 2.80-2.87

## Properties
- formation energy (kJ/mol of formula units) = -27

# MnFe14Tc

A relaxed MnFe14Tc crystal (PBE-GGA, Alexandria).

Cell lengths 4.9448, 4.9448, 8.0685 Å; angles 90.00, 90.00, 109.66 degrees
Closest atoms and distances in Å follow each position.
Positions (direct):
Mn (0.0000, 0.0000, 0.0000)  8 Fe 2.47-2.48
Fe (0.0000, 0.0000, 0.5000)  8 Fe 2.44-2.47
Fe (0.0000, 0.5000, 0.0000)  2 Mn 2.47, 2 Tc 2.47, 4 Fe 2.48
Fe (0.0000, 0.5000, 0.5000)  8 Fe 2.46-2.47
Fe (0.2464, 0.2464, 0.2527)  6 Fe 2.44-2.49, 1 Mn 2.48, 1 Tc 2.50
Fe (0.2464, 0.2464, 0.7473)  6 Fe 2.44-2.49, 1 Mn 2.48, 1 Tc 2.50
Fe (0.2499, 0.7501, 0.2516)  8 Fe 2.46-2.49
Fe (0.2499, 0.7501, 0.7484)  8 Fe 2.46-2.49
Fe (0.5000, 0.0000, 0.0000)  2 Mn 2.47, 2 Tc 2.47, 4 Fe 2.48
Fe (0.5000, 0.0000, 0.5000)  8 Fe 2.46-2.47
Fe (0.5000, 0.5000, 0.5000)  8 Fe 2.46-2.47
Fe (0.7501, 0.2499, 0.2516)  8 Fe 2.46-2.49
Fe (0.7501, 0.2499, 0.7484)  8 Fe 2.46-2.49
Fe (0.7536, 0.7536, 0.2527)  6 Fe 2.44-2.49, 1 Mn 2.48, 1 Tc 2.50
Fe (0.7536, 0.7536, 0.7473)  6 Fe 2.44-2.49, 1 Mn 2.48, 1 Tc 2.50
Tc (0.5000, 0.5000, 0.0000)  8 Fe 2.47-2.50

## Properties
- formation energy (kJ/mol of formula units) = 58

# MnFe2Tc

A relaxed MnFe2Tc crystal (PBE-GGA, Alexandria).

Cell lengths 2.5397, 4.1552, 4.7992 Å; angles 90.00, 101.21, 90.00 degrees
Closest atoms and distances in Å follow each position.
Positions (direct):
Mn (0.0000, 0.0000, 0.0000)  2 Tc 2.49, 4 Fe 2.52, 2 Mn 2.54
Fe (0.2436, 0.5000, 0.7567)  4 Fe 2.44-2.54, 2 Mn 2.52, 2 Tc 2.56
Fe (0.7564, 0.5000, 0.2433)  4 Fe 2.44-2.54, 2 Mn 2.52, 2 Tc 2.56
Tc (0.5000, 0.0000, 0.5000)  2 Mn 2.49, 2 Tc 2.54, 4 Fe 2.56

## Properties
- energy above the lowest structure with this stoichiometry (meV per atom) = 40.7
- formation energy (kJ/mol of formula units) = 39

# MnFe2Tc

A relaxed MnFe2Tc crystal (PBE-GGA, Alexandria).

Cell lengths 2.9376, 4.0424, 4.1546 Å; angles 90.00, 90.00, 90.00 degrees
Closest atoms and distances in Å follow each position.
Positions (direct):
Mn (0.0000, 0.0000, 0.0000)  4 Tc 2.50, 4 Fe 2.54
Fe (0.0000, 0.5000, 0.5000)  4 Fe 2.50, 4 Tc 2.54
Fe (0.5000, 0.0000, 0.5000)  4 Fe 2.50, 4 Mn 2.54
Tc (0.5000, 0.5000, 0.0000)  4 Mn 2.50, 4 Fe 2.54

## Properties
- energy above the lowest structure with this stoichiometry (meV per atom) = 50.7
- formation energy (kJ/mol of formula units) = 43